No. 1
This record from Alexandria via LeMat-Bulk describes HfTa2Ni after structural relaxation. The functional is PBE-GGA.

ρ   14.68 g cm⁻³
Energy of formation from the pure elements   180 meV per atom
Density of states at the Fermi level   1.888 states/eV per cell
M_tot   0.00 μB per atom
Relative energy among the computed polymorphs   0.000 eV per atom

CIF file:
```
data_HfTa2Ni
_chemical_formula_sum 'Hf1 Ta2 Ni1'
_space_group_name_H-M_alt 'P 1'
_space_group_IT_number 1
_cell_length_a 4.576
_cell_length_b 4.576
_cell_length_c 4.576
_cell_angle_alpha 60.00
_cell_angle_beta 60.00
_cell_angle_gamma 60.00
loop_
_space_group_symop_operation_xyz
'x,y,z'
loop_
_atom_site_label
_atom_site_type_symbol
_atom_site_fract_x
_atom_site_fract_y
_atom_site_fract_z
Ta1 Ta 0.250 0.250 0.250
Hf1 Hf 0.500 0.500 0.500
Ta2 Ta 0.750 0.750 0.750
Ni1 Ni 0.000 0.000 0.000
```

No. 2
This record from Alexandria via LeMat-Bulk describes PmMg12In6 after structural relaxation. The functional is PBE-GGA.

ρ   3.82 g cm⁻³
Energy of formation from the pure elements   39 meV per atom
Density of states at the Fermi level   8.346 states/eV per cell
M_tot   0.00 μB per atom

CIF file:
```
data_PmMg12In6
_chemical_formula_sum 'Pm1 Mg12 In6'
_space_group_name_H-M_alt 'P 1'
_space_group_IT_number 1
_cell_length_a 8.260
_cell_length_b 8.260
_cell_length_c 8.260
_cell_angle_alpha 105.27
_cell_angle_beta 105.27
_cell_angle_gamma 105.27
loop_
_space_group_symop_operation_xyz
'x,y,z'
loop_
_atom_site_label
_atom_site_type_symbol
_atom_site_fract_x
_atom_site_fract_y
_atom_site_fract_z
Mg1 Mg 0.111 0.500 0.889
In1 In 0.276 0.726 0.726
Mg2 Mg 0.392 0.147 0.392
Mg3 Mg 0.889 0.500 0.111
Mg4 Mg 0.500 0.889 0.111
Mg5 Mg 0.608 0.608 0.853
Pm1 Pm 0.000 0.000 0.000
Mg6 Mg 0.608 0.853 0.608
Mg7 Mg 0.853 0.608 0.608
Mg8 Mg 0.500 0.111 0.889
In2 In 0.274 0.724 0.274
In3 In 0.724 0.274 0.274
In4 In 0.726 0.276 0.726
Mg9 Mg 0.889 0.111 0.500
In5 In 0.274 0.274 0.724
In6 In 0.726 0.726 0.276
Mg10 Mg 0.111 0.889 0.500
Mg11 Mg 0.392 0.392 0.147
Mg12 Mg 0.147 0.392 0.392
```

No. 3
This record from Alexandria via LeMat-Bulk describes LiLa3Y after structural relaxation. The functional is PBE-GGA.

ρ   4.90 g cm⁻³
Energy of formation from the pure elements   414 meV per atom
Density of states at the Fermi level   7.676 states/eV per cell
M_tot   0.00 μB per atom
Relative energy among the computed polymorphs   0.000 eV per atom

CIF file:
```
data_LiLa3Y
_chemical_formula_sum 'Li1 La3 Y1'
_space_group_name_H-M_alt 'P 1'
_space_group_IT_number 1
_cell_length_a 5.579
_cell_length_b 5.579
_cell_length_c 5.579
_cell_angle_alpha 90.00
_cell_angle_beta 90.00
_cell_angle_gamma 90.00
loop_
_space_group_symop_operation_xyz
'x,y,z'
loop_
_atom_site_label
_atom_site_type_symbol
_atom_site_fract_x
_atom_site_fract_y
_atom_site_fract_z
La1 La 0.500 0.000 0.000
Y1 Y 0.500 0.500 0.500
La2 La 0.000 0.500 0.000
La3 La 0.000 0.000 0.500
Li1 Li 0.000 0.000 0.000
```

No. 4
This record from Alexandria via LeMat-Bulk describes KCr2Co after structural relaxation. The functional is PBE-GGA.

ρ   4.64 g cm⁻³
Energy of formation from the pure elements   757 meV per atom
Density of states at the Fermi level   4.792 states/eV per cell
M_tot   0.74 μB per atom
Relative energy among the computed polymorphs   0.000 eV per atom

CIF file:
```
data_KCr2Co
_chemical_formula_sum 'K1 Cr2 Co1'
_space_group_name_H-M_alt 'P 1'
_space_group_IT_number 1
_cell_length_a 2.969
_cell_length_b 2.969
_cell_length_c 8.208
_cell_angle_alpha 90.00
_cell_angle_beta 90.00
_cell_angle_gamma 90.00
loop_
_space_group_symop_operation_xyz
'x,y,z'
loop_
_atom_site_label
_atom_site_type_symbol
_atom_site_fract_x
_atom_site_fract_y
_atom_site_fract_z
K1 K 0.000 0.000 0.518
Cr1 Cr 0.500 0.500 0.156
Cr2 Cr 0.000 0.000 0.985
Co1 Co 0.500 0.500 0.840
```

No. 5
This record from Alexandria via LeMat-Bulk describes LiDy3Zn4 after structural relaxation. The functional is PBE-GGA.

ρ   7.36 g cm⁻³
Energy of formation from the pure elements   -278 meV per atom
Density of states at the Fermi level   7.427 states/eV per cell
M_tot   0.00 μB per atom

CIF file:
```
data_LiDy3Zn4
_chemical_formula_sum 'Li1 Dy3 Zn4'
_space_group_name_H-M_alt 'P 1'
_space_group_IT_number 1
_cell_length_a 4.923
_cell_length_b 4.923
_cell_length_c 8.613
_cell_angle_alpha 73.40
_cell_angle_beta 73.40
_cell_angle_gamma 60.00
loop_
_space_group_symop_operation_xyz
'x,y,z'
loop_
_atom_site_label
_atom_site_type_symbol
_atom_site_fract_x
_atom_site_fract_y
_atom_site_fract_z
Zn1 Zn 0.121 0.121 0.637
Dy1 Dy 0.746 0.746 0.763
Dy2 Dy 0.500 0.500 0.500
Li1 Li 0.000 0.000 0.000
Zn2 Zn 0.879 0.879 0.363
Zn3 Zn 0.626 0.626 0.123
Zn4 Zn 0.374 0.374 0.877
Dy3 Dy 0.254 0.254 0.237
```

No. 6
This record from Alexandria via LeMat-Bulk describes NdSiBr after structural relaxation. The functional is PBE-GGA.

ρ   5.11 g cm⁻³
Density of states at the Fermi level   1.293 states/eV per cell
M_tot   0.00 μB per atom
Calculated total energy   -5.0772 eV per atom

CIF file:
```
data_NdSiBr
_chemical_formula_sum 'Nd2 Si2 Br2'
_space_group_name_H-M_alt 'P 1'
_space_group_IT_number 1
_cell_length_a 3.865
_cell_length_b 3.865
_cell_length_c 10.981
_cell_angle_alpha 90.24
_cell_angle_beta 90.24
_cell_angle_gamma 90.54
loop_
_space_group_symop_operation_xyz
'x,y,z'
loop_
_atom_site_label
_atom_site_type_symbol
_atom_site_fract_x
_atom_site_fract_y
_atom_site_fract_z
Nd1 Nd 0.752 0.752 0.789
Si1 Si 0.266 0.734 0.000
Si2 Si 0.734 0.266 0.000
Br1 Br 0.252 0.252 0.658
Nd2 Nd 0.248 0.248 0.211
Br2 Br 0.748 0.748 0.342
```

No. 7
This record from Alexandria via LeMat-Bulk describes KTi2CdFe after structural relaxation. The functional is PBE-GGA.

ρ   4.56 g cm⁻³
Energy of formation from the pure elements   474 meV per atom
Density of states at the Fermi level   5.137 states/eV per cell
M_tot   0.00 μB per atom

CIF file:
```
data_KTi2CdFe
_chemical_formula_sum 'K1 Ti2 Cd1 Fe1'
_space_group_name_H-M_alt 'P 1'
_space_group_IT_number 1
_cell_length_a 4.564
_cell_length_b 5.298
_cell_length_c 4.564
_cell_angle_alpha 90.00
_cell_angle_beta 90.00
_cell_angle_gamma 90.00
loop_
_space_group_symop_operation_xyz
'x,y,z'
loop_
_atom_site_label
_atom_site_type_symbol
_atom_site_fract_x
_atom_site_fract_y
_atom_site_fract_z
Fe1 Fe 0.000 0.000 0.000
Cd1 Cd 0.000 0.500 0.000
K1 K 0.500 0.500 0.500
Ti1 Ti 0.500 0.000 0.000
Ti2 Ti 0.000 0.000 0.500
```

No. 8
This record from Alexandria via LeMat-Bulk describes TaCr2Mo after structural relaxation. The functional is PBE-GGA.

ρ   10.69 g cm⁻³
Energy of formation from the pure elements   370 meV per atom
Density of states at the Fermi level   4.111 states/eV per cell
M_tot   0.00 μB per atom
Relative energy among the computed polymorphs   0.390 eV per atom

CIF file:
```
data_TaCr2Mo
_chemical_formula_sum 'Ta1 Cr2 Mo1'
_space_group_name_H-M_alt 'P 1'
_space_group_IT_number 1
_cell_length_a 8.374
_cell_length_b 8.374
_cell_length_c 8.374
_cell_angle_alpha 19.84
_cell_angle_beta 19.84
_cell_angle_gamma 19.84
loop_
_space_group_symop_operation_xyz
'x,y,z'
loop_
_atom_site_label
_atom_site_type_symbol
_atom_site_fract_x
_atom_site_fract_y
_atom_site_fract_z
Cr1 Cr 0.255 0.255 0.255
Mo1 Mo 0.508 0.508 0.508
Cr2 Cr 0.992 0.992 0.992
Ta1 Ta 0.745 0.745 0.745
```

> Number 4 is which compound?

KCr2Co